1.
BaScSb2 | GGA-PBE | optimized geometry

Output
Total energy ... -4.968 eV per atom
E_form (uncorrected) ... -19.45 kcal/mol of atoms
ΔE to the lowest computed polymorph ... 0 meV per atom
D(E_F) ... 7.575 states/eV/cell
Volume ... 405 Å³/cell

Cell: 4.5657 4.5657 22.4313 Å, 90.00 90.00 120.00°
Space group R-3m (No. 166, hexagonal axes)
Symmetry-distinct sites (fractional):
Ba: 0.0000 0.0000 0.0000
Sc: 0.0000 0.0000 0.5000
Sb: 0.0000 0.0000 0.2299

2.
Ba2ScSb2 | GGA-PBE | optimized geometry

Output
Total energy ... -4.632 eV per atom
E_form (uncorrected) ... -21.86 kcal/mol of atoms
ΔE to the lowest computed polymorph ... 0 meV per atom
D(E_F) ... 13.737 states/eV/cell
Volume ... 781 Å³/cell

Cell: 7.6394 14.4691 7.0674 Å, 90.00 90.00 90.00°
Space group Ibam (No. 72)
Symmetry-distinct sites (fractional):
Ba: 0.1800 0.1455 0.0000
Sc: 0.0000 0.5000 0.2500
Sb: 0.2167 0.3897 0.0000

3.
BaSc2Sb | GGA-PBE | optimized geometry

Output
Total energy ... -4.848 eV per atom
E_form (uncorrected) ... -3.95 kcal/mol of atoms
D(E_F) ... 14.585 states/eV/cell
Volume ... 411 Å³/cell

Cell: 4.0319 4.0319 29.1761 Å, 90.00 90.00 120.00°
Space group R-3m (No. 166, hexagonal axes)
Symmetry-distinct sites (fractional):
Ba: 0.0000 0.0000 0.0000
Sc: 0.0000 0.0000 0.2241
Sb: 0.0000 0.0000 0.5000

4.
BaScSb3 | GGA-PBE | optimized geometry

Output
Total energy ... -3.186 eV per atom
E_form (uncorrected) ... 21.63 kcal/mol of atoms
ΔE to the lowest computed polymorph ... 1479 meV per atom
D(E_F) ... 5.763 states/eV/cell
Volume ... 220 Å³/cell

Cell: 6.0369 6.0369 6.0369 Å, 90.00 90.00 90.00°
Space group Pm-3m (No. 221)
Symmetry-distinct sites (fractional):
Ba: 0.0000 0.0000 0.0000
Sc: 0.5000 0.5000 0.5000
Sb: 0.0000 0.0000 0.5000

5.
BaSc2Sb | GGA-PBE | optimized geometry

Output
Total energy ... -4.921 eV per atom
E_form (uncorrected) ... -5.63 kcal/mol of atoms
D(E_F) ... 9.541 states/eV/cell
Volume ... 253 Å³/cell

Cell: 3.8183 5.8941 11.2636 Å, 90.00 90.00 90.00°
Space group Immm (No. 71)
Symmetry-distinct sites (fractional):
Ba: 0.0000 0.0000 0.0000
Sc: 0.0000 0.5000 0.1996
Sb: 0.0000 0.0000 0.5000

6.
BaSc2Sb | GGA-PBE | optimized geometry

Output
Total energy ... -4.722 eV per atom
E_form (uncorrected) ... -1.03 kcal/mol of atoms
D(E_F) ... 19.788 states/eV/cell
Volume ... 421 Å³/cell

Cell: 3.9076 3.9076 31.8506 Å, 90.00 90.00 120.00°
Space group R-3m (No. 166, hexagonal axes)
Symmetry-distinct sites (fractional):
Ba: 0.0000 0.0000 0.0000
Sc: 0.0000 0.0000 0.1119
Sb: 0.0000 0.0000 0.5000

7.
BaScSb2 | GGA-PBE | optimized geometry

Output
Total energy ... -4.665 eV per atom
E_form (uncorrected) ... -12.46 kcal/mol of atoms
ΔE to the lowest computed polymorph ... 303 meV per atom
D(E_F) ... 3.137 states/eV/cell
Volume ... 252 Å³/cell

Cell: 12.6295 3.3993 5.8653 Å, 90.00 90.08 90.00°
Space group Cm (No. 8)
Symmetry-distinct sites (fractional):
Ba: 0.0000 0.0000 0.0000
Sc: 0.2603 0.5000 0.5003
Sb: 0.2608 0.0000 0.9980
Sb: 0.4707 0.0000 0.4997

8.
BaScSb2 | GGA-PBE | optimized geometry

Output
Total energy ... -4.685 eV per atom
E_form (uncorrected) ... -12.91 kcal/mol of atoms
ΔE to the lowest computed polymorph ... 284 meV per atom
D(E_F) ... 10.390 states/eV/cell
Volume ... 487 Å³/cell

Cell: 7.8675 7.8675 7.8675 Å, 90.00 90.00 90.00°
Space group Fm-3m (No. 225)
Symmetry-distinct sites (fractional):
Ba: 0.0000 0.0000 0.0000
Sc: 0.0000 0.0000 0.5000
Sb: 0.2500 0.2500 0.2500

9.
BaScSb2 | GGA-PBE | optimized geometry

Output
Total energy ... -4.684 eV per atom
E_form (uncorrected) ... -12.90 kcal/mol of atoms
ΔE to the lowest computed polymorph ... 284 meV per atom
D(E_F) ... 3.188 states/eV/cell
Volume ... 139 Å³/cell

Cell: 4.5454 4.5454 6.7503 Å, 90.00 90.00 90.00°
Space group P4mm (No. 99)
Symmetry-distinct sites (fractional):
Ba: 0.0000 0.0000 0.0000
Sc: 0.5000 0.5000 0.5109
Sb: 0.0000 0.0000 0.5053
Sb: 0.5000 0.5000 0.0937

10.
BaScSb2 | GGA-PBE | optimized geometry

Output
Total energy ... -4.274 eV per atom
E_form (uncorrected) ... -3.45 kcal/mol of atoms
ΔE to the lowest computed polymorph ... 694 meV per atom
D(E_F) ... 21.359 states/eV/cell
Volume ... 475 Å³/cell

Cell: 7.7999 7.7999 7.7999 Å, 90.00 90.00 90.00°
Space group F-43m (No. 216)
Symmetry-distinct sites (fractional):
Ba: 0.0000 0.0000 0.0000
Sc: 0.2500 0.2500 0.2500
Sb: 0.0000 0.0000 0.5000
Sb: 0.2500 0.2500 0.7500

11.
BaScSb2 | GGA-PBE | optimized geometry

Output
Total energy ... -4.628 eV per atom
E_form (uncorrected) ... -11.60 kcal/mol of atoms
ΔE to the lowest computed polymorph ... 341 meV per atom
D(E_F) ... 19.973 states/eV/cell
Volume ... 706 Å³/cell

Cell: 6.4764 6.4764 16.8258 Å, 90.00 90.00 90.00°
Space group I-42d (No. 122)
Symmetry-distinct sites (fractional):
Ba: 0.0000 0.0000 0.0000
Sc: 0.0000 0.0000 0.5000
Sb: 0.1309 0.2500 0.6250

12.
BaSc2Sb | GGA-PBE | optimized geometry

Output
Total energy ... -4.781 eV per atom
E_form (uncorrected) ... -2.40 kcal/mol of atoms
D(E_F) ... 11.664 states/eV/cell
Volume ... 228 Å³/cell

Cell: 4.8372 4.8372 9.7424 Å, 90.00 90.00 90.00°
Space group I4/mmm (No. 139)
Symmetry-distinct sites (fractional):
Ba: 0.0000 0.0000 0.0000
Sc: 0.0000 0.5000 0.2500
Sb: 0.0000 0.0000 0.5000